(1)
Material: Y2AuI
Method: DFT, PBE-GGA
State: relaxed

Energy relative to the elements, uncorrected: -536 meV/atom
Energy above the most stable polymorph in this dataset: 269 meV per atom
Crystal system: cubic
Total DFT energy (no corrections): -0.1828 Ha/atom

Cell lengths 5.2824, 5.2824, 5.2824 Å; angles 60.00, 60.00, 60.00 degrees
Last column: magnetic moment on the atom in μB.
Positions (direct):
1 Y 0.7500 0.7500 0.7500  0.11
2 Y 0.2500 0.2500 0.2500  0.11
3 I 0.0000 0.0000 0.0000  0.00
4 Au 0.5000 0.5000 0.5000  0.01

***

(2)
Material: PmPrEr2Sc
Method: DFT, PBE-GGA
State: relaxed

Crystal system: monoclinic
Total DFT energy (no corrections): -0.1819 Ha/atom
Formation energy from the elements: 47 meV/atom

Cell lengths 5.0112, 7.8676, 7.8928 Å; angles 89.90, 90.00, 90.00 degrees
Positions (direct):
1 Er 0.7500 0.8393 0.5527
2 Er 0.2500 0.3538 0.0477
3 Er 0.2500 0.1607 0.4473
4 Er 0.7500 0.6462 0.9523
5 Pm 0.2500 0.9452 0.8465
6 Pm 0.7500 0.0548 0.1535
7 Pr 0.2500 0.7442 0.2590
8 Pr 0.7500 0.2558 0.7410
9 Sc 0.7500 0.4524 0.3502
10 Sc 0.2500 0.5476 0.6498